1.
Computed, not measured: a relaxed CaEuYNbO6 crystal at the PBE level of DFT.

Summary:
E_form (uncorrected): -2.882 eV per atom

Lattice parameters (Å, degrees): 5.941 5.941 5.941 60.00 60.00 60.00
Atoms (fractional coordinates):
Eu 0.750 0.750 0.750
Nb 0.000 0.000 0.000
O 0.238 0.762 0.238
O 0.238 0.762 0.762
O 0.762 0.762 0.238
O 0.762 0.238 0.762
O 0.762 0.238 0.238
O 0.238 0.238 0.762
Ca 0.250 0.250 0.250
Y 0.500 0.500 0.500

***

2.
Computed, not measured: a relaxed CaNdEu2 crystal at the PBE level of DFT.

Summary:
Excess energy over the best structure of this formula in the dataset: 1 meV/atom

Lattice parameters (Å, degrees): 3.790 3.790 11.102 90.00 90.00 90.00
Atoms (fractional coordinates):
Eu 0.000 0.000 0.760
Eu 0.000 0.000 0.240
Ca 0.500 0.500 0.500
Nd 0.500 0.500 0.000

***

3.
Computed, not measured: a relaxed CaNdEu crystal at the PBE level of DFT.

Summary:
Excess energy over the best structure of this formula in the dataset: 6 meV/atom

Lattice parameters (Å, degrees): 3.790 3.790 8.578 102.76 102.76 90.00
Atoms (fractional coordinates):
Ca 0.005 0.005 0.010
Eu 0.327 0.327 0.654
Nd 0.668 0.668 0.336

***

4.
Computed, not measured: a relaxed CaNd4Eu crystal at the PBE level of DFT.

Summary:
Electronic total energy: -30.287 eV per formula unit

Lattice parameters (Å, degrees): 6.935 6.935 6.935 60.00 60.00 60.00
Atoms (fractional coordinates):
Nd 0.625 0.625 0.126
Nd 0.625 0.126 0.625
Nd 0.625 0.625 0.625
Nd 0.126 0.625 0.625
Ca 0.250 0.250 0.250
Eu 0.000 0.000 0.000